{
  "formula": "Mn3AlF8",
  "functional": "PBE with a Hubbard U",
  "state": "optimized geometry",
  "rho_g_cm3": 3.087,
  "spacegroup": "C222, No. 21",
  "volume_a3_per_cell": 185,
  "dft_energy_ev_per_atom": -6.07,
  "lattice_angstrom": [[2.8581, -5.0610, 0.0000], [2.8581, 5.0610, 0.0000], [0.0000, 0.0000, 6.3927]],
  "species": ["Mn", "Mn", "Mn", "Al", "F", "F", "F", "F", "F", "F", "F", "F"],
  "fractional_positions": [[0.0000, 0.0000, 0.0000], [0.0000, 0.5000, 0.7513], [0.5000, 0.0000, 0.2487], [0.0000, 0.0000, 0.5000], [0.1863, 0.8137, 0.5000], [0.1993, 0.2395, 0.7083], [0.2099, 0.7901, 0.0000], [0.2395, 0.1993, 0.2917], [0.7605, 0.8007, 0.2917], [0.7901, 0.2099, 0.0000], [0.8007, 0.7605, 0.7083], [0.8137, 0.1863, 0.5000]]
}